No. 1
## ReNi2As (GGA-PBE)

Data for an optimized crystal structure of ReNi2As.

Output
energy relative to the elements = 0.118 eV/atom
magnetic moment = 0.0 μB per formula unit
space group = R-3m (166)
uncorrected energy = -7.05 eV per atom
N(E_F) = 1.061 states/eV/atom

Unit cell a=8.206 b=8.206 c=8.206 alpha=19.34 beta=19.34 gamma=19.34
Atoms (fractional coordinates):
Ni  0.003  0.003  0.003
Ni  0.497  0.497  0.497
As  0.750  0.750  0.750
Re  0.250  0.250  0.250

***

No. 2
## In2Co2Cu (GGA-PBE)

Data for an optimized crystal structure of In2Co2Cu.

Output
energy relative to the elements = 0.187 eV/atom
magnetic moment = 1.0 μB per formula unit
relative energy among the computed polymorphs = 58 meV per atom
space group = P1 (1)
uncorrected energy = -4.57 eV per atom
N(E_F) = 1.085 states/eV/atom

Unit cell a=4.154 b=5.245 c=7.479 alpha=89.90 beta=89.78 gamma=89.80
Each line ends with the local moment (μB).
Atoms (fractional coordinates):
Co  0.817  0.707  0.589  0.98
Co  0.324  0.968  0.739  1.12
Co  0.819  0.996  0.262  -0.25
Co  0.820  0.281  0.916  0.24
Cu  0.321  0.482  0.747  0.03
Cu  0.318  0.833  0.419  0.03
In  0.319  0.141  0.090  -0.01
In  0.825  0.200  0.578  -0.04
In  0.815  0.508  0.262  -0.01
In  0.823  0.776  0.927  -0.03

***

No. 3
## CoCuNi5 (GGA-PBE)

Data for an optimized crystal structure of CoCuNi5.

Output
energy relative to the elements = 0.342 eV/atom
magnetic moment = 4.9 μB per formula unit
relative energy among the computed polymorphs = 109 meV per atom
space group = Imm2 (44)
uncorrected energy = -5.39 eV per atom
N(E_F) = 1.742 states/eV/atom

Unit cell a=8.068 b=4.616 c=5.162 alpha=116.56 beta=141.40 gamma=90.00
Each line ends with the local moment (μB).
Atoms (fractional coordinates):
Cu  0.765  0.500  0.000  0.07
Ni  0.512  0.757  0.000  0.62
Ni  0.549  0.755  0.511  0.62
Ni  0.040  0.500  0.000  0.67
Ni  0.512  0.243  0.000  0.62
Ni  0.038  0.245  0.489  0.62
Co  0.113  0.000  0.000  1.89

***

No. 4
## Ti2RhO (GGA-PBE)

Data for an optimized crystal structure of Ti2RhO.

Output
magnetic moment = 0.0 μB per formula unit
space group = P4/mmm (123)
formation energy without anion corrections = -1.18 eV per atom
uncorrected energy = -8.21 eV per atom
N(E_F) = 1.433 states/eV/atom

Unit cell a=2.733 b=2.733 c=6.596 alpha=90.00 beta=90.00 gamma=90.00
Atoms (fractional coordinates):
Ti  0.000  0.000  0.214
Ti  0.000  0.000  0.786
O  0.500  0.500  0.000
Rh  0.500  0.500  0.500

***

No. 5
## NdDy4Ho3 (GGA-PBE)

Data for an optimized crystal structure of NdDy4Ho3.

Output
energy relative to the elements = 0.222 eV/atom
magnetic moment = 0.0 μB per formula unit
relative energy among the computed polymorphs = 212 meV per atom
space group = Cmmm (65)
uncorrected energy = -4.39 eV per atom
N(E_F) = 1.694 states/eV/atom

Unit cell a=5.648 b=3.548 c=13.333 alpha=89.99 beta=102.23 gamma=90.00
Atoms (fractional coordinates):
Dy  0.605  0.501  0.210
Dy  0.276  0.499  0.552
Dy  0.724  0.501  0.448
Dy  0.395  0.499  0.790
Ho  0.844  0.999  0.689
Ho  0.156  0.001  0.311
Ho  0.000  0.500  0.000
Nd  0.500  0.000  0.000

***

No. 6
## SnHg (GGA-PBE)

Data for an optimized crystal structure of SnHg.

Output
energy relative to the elements = 0.073 eV/atom
magnetic moment = 0.0 μB per formula unit
space group = I4/m (87)
uncorrected energy = -2.08 eV per atom
N(E_F) = 0.440 states/eV/atom

Unit cell a=11.102 b=11.102 c=3.742 alpha=90.00 beta=90.00 gamma=90.00
Atoms (fractional coordinates):
Hg  0.128  0.854  0.000
Hg  0.872  0.146  0.000
Hg  0.146  0.128  0.000
Hg  0.646  0.628  0.500
Hg  0.854  0.872  0.000
Hg  0.628  0.354  0.500
Hg  0.354  0.372  0.500
Hg  0.372  0.646  0.500
Sn  0.648  0.068  0.500
Sn  0.432  0.148  0.000
Sn  0.568  0.852  0.000
Sn  0.352  0.932  0.500
Sn  0.932  0.648  0.500
Sn  0.852  0.432  0.000
Sn  0.068  0.352  0.500
Sn  0.148  0.568  0.000

***

No. 7
## CdGe2Se2 (GGA-PBE)

Data for an optimized crystal structure of CdGe2Se2.

Output
magnetic moment = 0.0 μB per formula unit
relative energy among the computed polymorphs = 91 meV per atom
space group = I4/mmm (139)
formation energy without anion corrections = 0.11 eV per atom
uncorrected energy = -3.31 eV per atom
N(E_F) = 0.245 states/eV/atom

Unit cell a=4.910 b=4.910 c=6.882 alpha=69.10 beta=69.10 gamma=90.00
Atoms (fractional coordinates):
Ge  0.750  0.250  0.500
Ge  0.250  0.750  0.500
Cd  0.000  0.000  0.000
Se  0.651  0.651  0.698
Se  0.349  0.349  0.302

***

No. 8
## TcSe2NF (GGA-PBE)

Data for an optimized crystal structure of TcSe2NF.

Output
magnetic moment = 2.9 μB per formula unit
relative energy among the computed polymorphs = 1270 meV per atom
space group = P4/mmm (123)
formation energy without anion corrections = 1.51 eV per atom
uncorrected energy = -4.00 eV per atom
N(E_F) = 0.896 states/eV/atom

Unit cell a=4.565 b=4.565 c=3.676 alpha=90.00 beta=90.00 gamma=90.00
Each line ends with the local moment (μB).
Atoms (fractional coordinates):
Se  0.500  0.000  0.000  -0.05
Se  0.000  0.500  0.000  -0.05
F  0.000  0.000  0.000  -0.05
Tc  0.500  0.500  0.500  1.99
N  0.000  0.000  0.500  0.69

***

No. 9
## CuPbBrO (GGA-PBE)

Data for an optimized crystal structure of CuPbBrO.

Output
magnetic moment = 0.0 μB per formula unit
space group = Pmm2 (25)
formation energy without anion corrections = -0.59 eV per atom
uncorrected energy = -4.20 eV per atom

Unit cell a=3.661 b=3.594 c=6.661 alpha=90.00 beta=90.00 gamma=90.00
Atoms (fractional coordinates):
O  0.500  0.500  0.719
Cu  0.500  0.500  0.437
Pb  0.000  0.000  0.783
Br  0.000  0.500  0.196

***

No. 10
## ScTi2Cu2 (GGA-PBE)

Data for an optimized crystal structure of ScTi2Cu2.

Output
energy relative to the elements = -0.014 eV/atom
magnetic moment = 0.4 μB per formula unit
relative energy among the computed polymorphs = 0 meV per atom
space group = P4/mbm (127)
uncorrected energy = -6.08 eV per atom
N(E_F) = 1.073 states/eV/atom

Unit cell a=7.286 b=7.286 c=3.089 alpha=90.00 beta=90.00 gamma=90.00
Each line ends with the local moment (μB).
Atoms (fractional coordinates):
Cu  0.124  0.376  0.000  0.02
Cu  0.376  0.876  0.000  0.02
Cu  0.624  0.124  0.000  0.02
Cu  0.876  0.624  0.000  0.02
Sc  0.500  0.500  0.000  -0.02
Sc  0.000  0.000  0.000  -0.02
Ti  0.669  0.831  0.500  0.15
Ti  0.169  0.669  0.500  0.14
Ti  0.331  0.169  0.500  0.15
Ti  0.831  0.331  0.500  0.14

***

No. 11
## Ac2FeC4 (GGA-PBE)

Data for an optimized crystal structure of Ac2FeC4.

Output
energy relative to the elements = -0.021 eV/atom
magnetic moment = 0.0 μB per formula unit
space group = Ibam (72)
uncorrected energy = -7.67 eV per atom
N(E_F) = 0.236 states/eV/atom

Unit cell a=5.417 b=7.253 c=7.253 alpha=64.01 beta=68.07 gamma=68.07
Atoms (fractional coordinates):
Ac  0.644  0.185  0.528
Ac  0.856  0.472  0.815
Ac  0.144  0.528  0.185
Ac  0.356  0.815  0.472
C  0.424  0.229  0.922
C  0.616  0.562  0.206
C  0.576  0.771  0.078
C  0.384  0.438  0.794
C  0.076  0.078  0.771
C  0.924  0.922  0.229
C  0.884  0.794  0.438
C  0.116  0.206  0.562
Fe  0.750  0.000  0.000
Fe  0.250  0.000  0.000

***

No. 12
## PmYAg2 (GGA-PBE)

Data for an optimized crystal structure of PmYAg2.

Output
energy relative to the elements = -0.301 eV/atom
magnetic moment = 0.0 μB per formula unit
relative energy among the computed polymorphs = 0 meV per atom
space group = P4/mmm (123)
uncorrected energy = -4.53 eV per atom
N(E_F) = 0.654 states/eV/atom

Unit cell a=3.662 b=3.662 c=7.469 alpha=90.00 beta=90.00 gamma=90.00
Atoms (fractional coordinates):
Pm  0.500  0.500  0.500
Ag  0.000  0.000  0.237
Ag  0.000  0.000  0.763
Y  0.500  0.500  0.000

***

No. 13
## ZnSbTe (GGA-PBE)

Data for an optimized crystal structure of ZnSbTe.

Output
magnetic moment = 0.0 μB per formula unit
relative energy among the computed polymorphs = 220 meV per atom
space group = F-43m (216)
formation energy without anion corrections = 0.23 eV per atom
uncorrected energy = -2.62 eV per atom
N(E_F) = 1.079 states/eV/atom

Unit cell a=4.884 b=4.884 c=4.884 alpha=60.00 beta=60.00 gamma=60.00
Atoms (fractional coordinates):
Sb  0.000  0.000  0.000
Zn  0.250  0.250  0.250
Te  0.500  0.500  0.500

***

No. 14
## In2OsSe (GGA-PBE)

Data for an optimized crystal structure of In2OsSe.

Output
magnetic moment = 0.0 μB per formula unit
space group = R-3m (166)
formation energy without anion corrections = 0.42 eV per atom
uncorrected energy = -4.63 eV per atom
N(E_F) = 0.867 states/eV/atom

Unit cell a=8.046 b=8.046 c=8.046 alpha=25.18 beta=25.18 gamma=25.18
Atoms (fractional coordinates):
Se  0.750  0.750  0.750
In  0.998  0.998  0.998
In  0.502  0.502  0.502
Os  0.250  0.250  0.250

***

No. 15
## Th4OsPd2 (GGA-PBE)

Data for an optimized crystal structure of Th4OsPd2.

Output
energy relative to the elements = -0.442 eV/atom
magnetic moment = 0.0 μB per formula unit
space group = I4_1/amd (141)
uncorrected energy = -7.77 eV per atom
N(E_F) = 1.019 states/eV/atom

Unit cell a=7.935 b=7.936 c=7.936 alpha=110.58 beta=110.57 gamma=107.29
Atoms (fractional coordinates):
Th  0.311  0.509  0.199
Th  0.939  0.638  0.699
Th  0.888  0.689  0.199
Th  0.491  0.690  0.801
Th  0.759  0.061  0.699
Th  0.362  0.060  0.301
Th  0.940  0.241  0.302
Th  0.310  0.112  0.801
Os  0.000  0.000  0.000
Os  0.250  0.750  0.500
Pd  0.125  0.375  0.750
Pd  0.625  0.375  0.250
Pd  0.625  0.875  0.250
Pd  0.625  0.375  0.750

***

No. 16
## UNi3Ge2 (GGA-PBE)

Data for an optimized crystal structure of UNi3Ge2.

Output
energy relative to the elements = -0.299 eV/atom
magnetic moment = 2.5 μB per formula unit
space group = C2/m (12)
uncorrected energy = -6.61 eV per atom
N(E_F) = 1.829 states/eV/atom

Unit cell a=3.852 b=7.712 c=7.104 alpha=115.05 beta=90.00 gamma=104.46
Each line ends with the local moment (μB).
Atoms (fractional coordinates):
Ni  0.962  0.923  0.622  0.10
Ni  0.409  0.817  0.331  0.05
Ni  0.591  0.183  0.669  0.05
Ni  0.312  0.625  0.547  0.01
Ni  0.038  0.077  0.378  0.10
Ni  0.688  0.375  0.453  0.01
U  0.849  0.698  0.934  2.10
U  0.151  0.302  0.066  2.10
Ge  0.808  0.616  0.313  -0.01
Ge  0.192  0.384  0.687  -0.01
Ge  0.524  0.048  0.188  -0.01
Ge  0.476  0.952  0.812  -0.01

***

No. 17
## ScNi2W (GGA-PBE)

Data for an optimized crystal structure of ScNi2W.

Output
energy relative to the elements = 0.006 eV/atom
magnetic moment = 0.0 μB per formula unit
relative energy among the computed polymorphs = 125 meV per atom
space group = Fm-3m (225)
uncorrected energy = -7.71 eV per atom
N(E_F) = 1.218 states/eV/atom

Unit cell a=4.345 b=4.345 c=4.345 alpha=60.00 beta=60.00 gamma=60.00
Atoms (fractional coordinates):
W  0.500  0.500  0.500
Ni  0.750  0.750  0.750
Ni  0.250  0.250  0.250
Sc  0.000  0.000  0.000

***

No. 18
## Fe4SnRh (GGA-PBE)

Data for an optimized crystal structure of Fe4SnRh.

Output
energy relative to the elements = 0.030 eV/atom
magnetic moment = 10.3 μB per formula unit
space group = F-43m (216)
uncorrected energy = -7.50 eV per atom
N(E_F) = 0.883 states/eV/atom

Unit cell a=4.867 b=4.867 c=4.867 alpha=60.00 beta=60.00 gamma=60.00
Each line ends with the local moment (μB).
Atoms (fractional coordinates):
Fe  0.625  0.625  0.125  2.43
Fe  0.625  0.125  0.625  2.43
Fe  0.625  0.625  0.625  2.43
Fe  0.125  0.625  0.625  2.43
Sn  0.000  0.000  0.000  -0.10
Rh  0.250  0.250  0.250  0.65

***

No. 19
## KLi2Os (GGA-PBE)

Data for an optimized crystal structure of KLi2Os.

Output
energy relative to the elements = 1.124 eV/atom
magnetic moment = 0.8 μB per formula unit
relative energy among the computed polymorphs = 555 meV per atom
space group = I-4m2 (119)
uncorrected energy = -2.92 eV per atom
N(E_F) = 1.048 states/eV/atom

Unit cell a=5.586 b=5.586 c=5.586 alpha=138.12 beta=138.12 gamma=60.72
Each line ends with the local moment (μB).
Atoms (fractional coordinates):
Li  0.000  0.000  0.000  -0.02
Li  0.250  0.750  0.500  -0.02
Os  0.500  0.500  0.000  0.83
K  0.750  0.250  0.500  0.00

***

No. 20
## Ni3HSe (GGA-PBE)

Data for an optimized crystal structure of Ni3HSe.

Output
magnetic moment = 0.0 μB per formula unit
relative energy among the computed polymorphs = 933 meV per atom
space group = Pm-3m (221)
uncorrected energy = -3.84 eV per atom
N(E_F) = 1.511 states/eV/atom

Unit cell a=4.369 b=4.369 c=4.369 alpha=90.00 beta=90.00 gamma=90.00
Atoms (fractional coordinates):
Ni  0.000  0.500  0.000
Ni  0.000  0.000  0.500
Ni  0.500  0.000  0.000
H  0.500  0.500  0.500
Se  0.000  0.000  0.000